P | # IrPt2Br (SCAN, single point on PBEsol structure)
data_IrPt2Br
_symmetry_space_group_name_H-M 'P 1'
_symmetry_Int_Tables_number 1
_symmetry_space_group_name_Hall 'P 1'
_cell_length_a 2.835
_cell_length_b 2.835
_cell_length_c 9.404
_cell_angle_alpha 90.00
_cell_angle_beta 90.00
_cell_angle_gamma 121.82
loop_
_atom_site_label
_atom_site_type_symbol
_atom_site_fract_x
_atom_site_fract_y
_atom_site_fract_z
_atom_site_occupancy
Ir1 Ir 0.000 0.000 0.000 1
Pt1 Pt 0.000 0.000 0.487 1
Pt2 Pt 0.500 0.500 0.239 1
Br1 Br 0.500 0.500 0.761 1
# Space-group type: Cmm2 (35)

***

Q | # IrPt2Br (SCAN, single point on PBEsol structure)
data_IrPt2Br
_symmetry_space_group_name_H-M 'P 1'
_symmetry_Int_Tables_number 1
_symmetry_space_group_name_Hall 'P 1'
_cell_length_a 4.624
_cell_length_b 4.624
_cell_length_c 6.531
_cell_angle_alpha 100.87
_cell_angle_beta 100.87
_cell_angle_gamma 35.26
loop_
_atom_site_label
_atom_site_type_symbol
_atom_site_fract_x
_atom_site_fract_y
_atom_site_fract_z
_atom_site_occupancy
Ir1 Ir 0.000 0.000 0.000 1
Pt1 Pt 0.253 0.253 0.864 1
Pt2 Pt 0.497 0.497 0.660 1
Br1 Br 0.596 0.596 0.329 1
# Space-group type: Cm (8)

***

The structure with the greatest stability is Q.

***

P | # Ta2BeSi (SCAN, single point on PBEsol structure)
data_Ta2BeSi
_symmetry_space_group_name_H-M 'P 1'
_symmetry_Int_Tables_number 1
_symmetry_space_group_name_Hall 'P 1'
_cell_length_a 4.313
_cell_length_b 4.313
_cell_length_c 4.313
_cell_angle_alpha 60.00
_cell_angle_beta 60.00
_cell_angle_gamma 60.00
loop_
_atom_site_label
_atom_site_type_symbol
_atom_site_fract_x
_atom_site_fract_y
_atom_site_fract_z
_atom_site_occupancy
Ta1 Ta 0.250 0.250 0.250 1
Ta2 Ta 0.750 0.750 0.750 1
Be1 Be 0.000 0.000 0.000 1
Si1 Si 0.500 0.500 0.500 1
# Space-group type: Fm-3m (225)

***

Q | # Ta2BeSi (SCAN, single point on PBEsol structure)
data_Ta2BeSi
_symmetry_space_group_name_H-M 'P 1'
_symmetry_Int_Tables_number 1
_symmetry_space_group_name_Hall 'P 1'
_cell_length_a 5.431
_cell_length_b 5.431
_cell_length_c 5.431
_cell_angle_alpha 104.34
_cell_angle_beta 104.34
_cell_angle_gamma 120.30
loop_
_atom_site_label
_atom_site_type_symbol
_atom_site_fract_x
_atom_site_fract_y
_atom_site_fract_z
_atom_site_occupancy
Ta1 Ta 0.116 0.125 0.491 1
Ta2 Ta 0.375 0.884 0.009 1
Ta3 Ta 0.634 0.625 0.509 1
Ta4 Ta 0.875 0.366 0.991 1
Be1 Be 0.000 0.000 0.000 1
Be2 Be 0.750 0.250 0.500 1
Si1 Si 0.250 0.750 0.500 1
Si2 Si 0.500 0.500 0.000 1
# Space-group type: I-42d (122)

***

The structure with the greatest stability is P.

***

P | # Ca2YBr (SCAN, single point on PBEsol structure)
data_Ca2YBr
_symmetry_space_group_name_H-M 'P 1'
_symmetry_Int_Tables_number 1
_symmetry_space_group_name_Hall 'P 1'
_cell_length_a 5.719
_cell_length_b 5.719
_cell_length_c 5.719
_cell_angle_alpha 60.00
_cell_angle_beta 60.00
_cell_angle_gamma 60.00
loop_
_atom_site_label
_atom_site_type_symbol
_atom_site_fract_x
_atom_site_fract_y
_atom_site_fract_z
_atom_site_occupancy
Ca1 Ca 0.000 0.000 0.000 1
Ca2 Ca 0.250 0.250 0.250 1
Y1 Y 0.750 0.750 0.750 1
Br1 Br 0.500 0.500 0.500 1
# Space-group type: F-43m (216)

***

Q | # Ca2YBr (SCAN, single point on PBEsol structure)
data_Ca2YBr
_symmetry_space_group_name_H-M 'P 1'
_symmetry_Int_Tables_number 1
_symmetry_space_group_name_Hall 'P 1'
_cell_length_a 3.649
_cell_length_b 3.649
_cell_length_c 10.587
_cell_angle_alpha 90.00
_cell_angle_beta 90.00
_cell_angle_gamma 115.50
loop_
_atom_site_label
_atom_site_type_symbol
_atom_site_fract_x
_atom_site_fract_y
_atom_site_fract_z
_atom_site_occupancy
Ca1 Ca 0.000 0.000 0.000 1
Ca2 Ca 0.500 0.500 0.294 1
Y1 Y 0.500 0.500 0.728 1
Br1 Br 0.000 0.000 0.513 1
# Space-group type: Cmm2 (35)

***

The structure with the greatest stability is Q.

***

P | # LaY (SCAN, single point on PBEsol structure)
data_LaY
_symmetry_space_group_name_H-M 'P 1'
_symmetry_Int_Tables_number 1
_symmetry_space_group_name_Hall 'P 1'
_cell_length_a 3.623
_cell_length_b 3.623
_cell_length_c 4.937
_cell_angle_alpha 90.00
_cell_angle_beta 90.00
_cell_angle_gamma 90.00
loop_
_atom_site_label
_atom_site_type_symbol
_atom_site_fract_x
_atom_site_fract_y
_atom_site_fract_z
_atom_site_occupancy
La1 La 0.000 0.000 0.000 1
Y1 Y 0.500 0.500 0.500 1
# Space-group type: P4/mmm (123)

***

Q | # LaY (SCAN, single point on PBEsol structure)
data_LaY
_symmetry_space_group_name_H-M 'P 1'
_symmetry_Int_Tables_number 1
_symmetry_space_group_name_Hall 'P 1'
_cell_length_a 17.625
_cell_length_b 17.625
_cell_length_c 17.625
_cell_angle_alpha 11.70
_cell_angle_beta 11.70
_cell_angle_gamma 11.70
loop_
_atom_site_label
_atom_site_type_symbol
_atom_site_fract_x
_atom_site_fract_y
_atom_site_fract_z
_atom_site_occupancy
La1 La 0.000 0.000 0.000 1
La2 La 0.223 0.223 0.223 1
La3 La 0.498 0.498 0.498 1
Y1 Y 0.109 0.109 0.109 1
Y2 Y 0.611 0.611 0.611 1
Y3 Y 0.723 0.723 0.723 1
# Space-group type: R3m (160)

***

The structure with the greatest stability is P.

***

P | # Li6Ti2O7 (SCAN, single point on PBEsol structure)
data_Li6Ti2O7
_symmetry_space_group_name_H-M 'P 1'
_symmetry_Int_Tables_number 1
_symmetry_space_group_name_Hall 'P 1'
_cell_length_a 9.943
_cell_length_b 9.943
_cell_length_c 2.919
_cell_angle_alpha 90.00
_cell_angle_beta 90.00
_cell_angle_gamma 90.00
loop_
_atom_site_label
_atom_site_type_symbol
_atom_site_fract_x
_atom_site_fract_y
_atom_site_fract_z
_atom_site_occupancy
Li1 Li 0.087 0.087 0.000 1
Li2 Li 0.110 0.302 0.500 1
Li3 Li 0.198 0.610 0.000 1
Li4 Li 0.302 0.110 0.500 1
Li5 Li 0.390 0.802 0.000 1
Li6 Li 0.413 0.587 0.500 1
Li7 Li 0.587 0.413 0.500 1
Li8 Li 0.610 0.198 0.000 1
Li9 Li 0.698 0.890 0.500 1
Li10 Li 0.802 0.390 0.000 1
Li11 Li 0.890 0.698 0.500 1
Li12 Li 0.913 0.913 0.000 1
Ti1 Ti 0.151 0.849 0.500 1
Ti2 Ti 0.349 0.349 0.000 1
Ti3 Ti 0.651 0.651 0.000 1
Ti4 Ti 0.849 0.151 0.500 1
O1 O 0.000 0.000 0.500 1
O2 O 0.051 0.757 0.000 1
O3 O 0.220 0.220 0.000 1
O4 O 0.243 0.949 0.000 1
O5 O 0.257 0.449 0.500 1
O6 O 0.280 0.720 0.500 1
O7 O 0.449 0.257 0.500 1
O8 O 0.500 0.500 0.000 1
O9 O 0.551 0.743 0.500 1
O10 O 0.720 0.280 0.500 1
O11 O 0.743 0.551 0.500 1
O12 O 0.757 0.051 0.000 1
O13 O 0.780 0.780 0.000 1
O14 O 0.949 0.243 0.000 1
# Space-group type: P4_2/mnm (136)

***

Q | # Li6Ti2O7 (SCAN, single point on PBEsol structure)
data_Li6Ti2O7
_symmetry_space_group_name_H-M 'P 1'
_symmetry_Int_Tables_number 1
_symmetry_space_group_name_Hall 'P 1'
_cell_length_a 5.691
_cell_length_b 5.691
_cell_length_c 5.054
_cell_angle_alpha 107.70
_cell_angle_beta 107.70
_cell_angle_gamma 61.02
loop_
_atom_site_label
_atom_site_type_symbol
_atom_site_fract_x
_atom_site_fract_y
_atom_site_fract_z
_atom_site_occupancy
Li1 Li 0.129 0.129 0.188 1
Li2 Li 0.141 0.589 0.228 1
Li3 Li 0.411 0.859 0.772 1
Li4 Li 0.589 0.141 0.228 1
Li5 Li 0.859 0.411 0.772 1
Li6 Li 0.871 0.871 0.812 1
Ti1 Ti 0.365 0.365 0.739 1
Ti2 Ti 0.635 0.635 0.261 1
O1 O 0.000 0.500 0.500 1
O2 O 0.245 0.245 0.950 1
O3 O 0.271 0.729 0.000 1
O4 O 0.500 0.000 0.500 1
O5 O 0.500 0.500 0.500 1
O6 O 0.729 0.271 0.000 1
O7 O 0.755 0.755 0.050 1
# Space-group type: C2/m (12)

***

The structure with the greatest stability is Q.

***

P | # CrTeW (SCAN, single point on PBEsol structure)
data_CrTeW
_symmetry_space_group_name_H-M 'P 1'
_symmetry_Int_Tables_number 1
_symmetry_space_group_name_Hall 'P 1'
_cell_length_a 5.249
_cell_length_b 5.249
_cell_length_c 5.249
_cell_angle_alpha 145.02
_cell_angle_beta 145.02
_cell_angle_gamma 50.31
loop_
_atom_site_label
_atom_site_type_symbol
_atom_site_fract_x
_atom_site_fract_y
_atom_site_fract_z
_atom_site_occupancy
Cr1 Cr 0.000 0.000 0.000 1
Te1 Te 0.660 0.660 0.000 1
W1 W 0.346 0.346 0.000 1
# Space-group type: I4mm (107)

***

Q | # CrTeW (SCAN, single point on PBEsol structure)
data_CrTeW
_symmetry_space_group_name_H-M 'P 1'
_symmetry_Int_Tables_number 1
_symmetry_space_group_name_Hall 'P 1'
_cell_length_a 4.171
_cell_length_b 4.171
_cell_length_c 4.171
_cell_angle_alpha 60.00
_cell_angle_beta 60.00
_cell_angle_gamma 60.00
loop_
_atom_site_label
_atom_site_type_symbol
_atom_site_fract_x
_atom_site_fract_y
_atom_site_fract_z
_atom_site_occupancy
Cr1 Cr 0.000 0.000 0.000 1
Te1 Te 0.750 0.750 0.750 1
W1 W 0.250 0.250 0.250 1
# Space-group type: F-43m (216)

***

The structure with the greatest stability is Q.